Entry 1:
VASP calculation (PBE) on crystalline LiInIBr at its relaxed geometry.

Unit cell a=4.5980 b=4.5993 c=7.9006 alpha=90.01 beta=89.96 gamma=59.94
Fractional coordinates of all 4 atoms:
Br: 0.3544 0.3172 0.6876
Li: 0.3551 0.3151 0.0046
In: 0.6875 0.6507 0.4713
I: 0.0218 0.9822 0.1336

Output
Total moment: 0.00 μB per atom
N(E_F): 0.00 states/eV per atom
Electronic total energy: -11.59 eV for the cell shown
V: 36.15 A^3/atom


Entry 2:
VASP calculation (PBE) on crystalline MgInI2Br at its relaxed geometry.

Unit cell a=5.8632 b=5.8632 c=5.1960 alpha=90.00 beta=90.00 gamma=90.00
Fractional coordinates of all 5 atoms:
In: 0.5000 0.5000 0.5000
I: 0.5000 0.0000 0.0000
Br: 0.0000 0.0000 0.5000
I: 0.0000 0.5000 0.0000
Mg: 0.0000 0.0000 0.0000

Output
Total moment: 0.00 μB per atom
N(E_F): 0.00 states/eV per atom
Electronic total energy: -13.21 eV for the cell shown
V: 35.72 A^3/atom


Entry 3:
VASP calculation (PBE) on crystalline MnIn5I2Br4 at its relaxed geometry.

Unit cell a=6.3614 b=9.7909 c=8.4341 alpha=90.00 beta=90.00 gamma=108.96
Fractional coordinates of all 12 atoms:
Br: 0.7125 0.0000 0.2450
In: 0.5695 0.4991 0.1921
I: 0.9960 0.6589 0.5000
Br: 0.3553 0.2150 0.0000
In: 0.3721 0.0000 0.5000
I: 0.3371 0.3411 0.5000
In: 0.0704 0.5009 0.8079
Br: 0.1403 0.7850 0.0000
In: 0.0704 0.5009 0.1921
Br: 0.7125 0.0000 0.7550
Mn: 0.5000 0.0000 0.0000
In: 0.5695 0.4991 0.8079

Output
Total moment: 0.42 μB per atom
N(E_F): 0.14 states/eV per atom
Electronic total energy: -38.36 eV for the cell shown
V: 41.40 A^3/atom


Entry 4:
VASP calculation (PBE) on crystalline MnInI2Br at its relaxed geometry.

Unit cell a=5.8139 b=5.8139 c=5.1955 alpha=90.00 beta=90.00 gamma=90.00
Fractional coordinates of all 5 atoms:
I: 0.5000 0.0000 0.0000
Br: 0.0000 0.0000 0.5000
In: 0.5000 0.5000 0.5000
I: 0.0000 0.5000 0.0000
Mn: 0.0000 0.0000 0.0000

Output
Total moment: 1.00 μB per atom
N(E_F): 0.01 states/eV per atom
Electronic total energy: -18.90 eV for the cell shown
V: 35.12 A^3/atom